1.
A relaxed La2Mo2Au crystal. Source: the Alexandria database, functional PBE.

a = 7.2540 Å, b = 7.2540 Å, c = 4.5326 Å
α = 90.00°, β = 90.00°, γ = 90.00°
With the nearest neighbours (Å) after each atom.
Space group P4/mbm (No. 127)
Unique sites:
La 0.1859 0.3141 0.0000  6 Mo 3.06-3.18
Mo 0.1141 0.6141 0.5000  1 Mo 2.34
Au 0.0000 0.0000 0.5000  4 Mo 2.92

Values from the calculation:
ΔE_f = 0.133 eV/atom
Fermi-level density of states = 13.547 states/eV/cell
Magnetization = 0.00 μB per cell
Theoretical density = 9.3 Mg/m³
Energy relative to the lowest polymorph listed for this composition = 0.068 eV per atom
Crystal system = tetragonal

2.
A relaxed LaMoAu crystal. Source: the Alexandria database, functional PBE.

a = 3.0306 Å, b = 3.0306 Å, c = 13.8865 Å
α = 90.00°, β = 90.00°, γ = 90.00°
With the nearest neighbours (Å) after each atom.
Space group I4mm (No. 107)
Unique sites:
La 0.0000 0.0000 0.0000  4 La 3.03, 4 Mo 3.30, 4 Au 3.34
Mo 0.0000 0.0000 0.6810  4 Au 2.84, 4 Mo 3.03
Au 0.0000 0.0000 0.3152  4 Mo 2.84, 4 Au 3.03

Values from the calculation:
ΔE_f = 0.253 eV/atom
Fermi-level density of states = 4.394 states/eV/cell
Magnetization = 0.00 μB per cell
Theoretical density = 11.2 Mg/m³
Energy relative to the lowest polymorph listed for this composition = 0.076 eV per atom
Crystal system = tetragonal

3.
A relaxed LaMoAu2 crystal. Source: the Alexandria database, functional PBE.

a = 9.3361 Å, b = 3.0618 Å, c = 6.2264 Å
α = 90.00°, β = 99.11°, γ = 90.00°
With the nearest neighbours (Å) after each atom.
Space group C2/m (No. 12)
Unique sites:
La 0.0000 0.0000 0.0000  2 La 3.06, 6 Au 3.18-3.23
Mo 0.0000 0.5000 0.5000  6 Au 2.82-2.87, 2 Mo 3.06
Au 0.2404 0.0000 0.6917  3 Mo 2.82-2.87, 4 Au 2.87-3.06

Values from the calculation:
ΔE_f = 0.177 eV/atom
Fermi-level density of states = 9.574 states/eV/cell
Magnetization = 0.00 μB per cell
Theoretical density = 11.9 Mg/m³
Energy relative to the lowest polymorph listed for this composition = 0.152 eV per atom
Crystal system = monoclinic

4.
A relaxed La2MoAu crystal. Source: the Alexandria database, functional PBE.

a = 3.4800 Å, b = 5.0779 Å, c = 11.5051 Å
α = 90.00°, β = 90.00°, γ = 90.00°
With the nearest neighbours (Å) after each atom.
Space group Imm2 (No. 44)
Unique sites:
La 0.0000 0.0000 0.0000  4 Mo 3.11, 4 La 3.46-3.48
La 0.0000 0.5000 0.2038  4 Au 3.18, 2 Mo 3.30, 4 La 3.46-3.48
Mo 0.0000 0.0000 0.4602  2 Au 2.75
Au 0.0000 0.5000 0.7747  2 Mo 2.75

Values from the calculation:
ΔE_f = 0.050 eV/atom
Fermi-level density of states = 10.408 states/eV/cell
Magnetization = 1.41 μB per cell
Theoretical density = 9.3 Mg/m³
Energy relative to the lowest polymorph listed for this composition = 0.094 eV per atom
Crystal system = orthorhombic

5.
A relaxed La2MoAu crystal. Source: the Alexandria database, functional PBE.

a = 3.6523 Å, b = 3.6523 Å, c = 7.6816 Å
α = 90.00°, β = 90.00°, γ = 90.00°
With the nearest neighbours (Å) after each atom.
Space group P4/mmm (No. 123)
Unique sites:
La 0.0000 0.0000 0.2371  4 Mo 3.16, 4 Au 3.28
Mo 0.5000 0.5000 0.0000  8 La 3.16
Au 0.5000 0.5000 0.5000  8 La 3.28, 4 Au 3.65

Values from the calculation:
ΔE_f = -0.045 eV/atom
Fermi-level density of states = 5.998 states/eV/cell
Magnetization = 0.63 μB per cell
Theoretical density = 9.2 Mg/m³
Energy relative to the lowest polymorph listed for this composition = 0.000 eV per atom
Crystal system = tetragonal

6.
A relaxed LaMoAu3 crystal. Source: the Alexandria database, functional PBE.

a = 5.0668 Å, b = 5.0668 Å, c = 5.0668 Å
α = 90.00°, β = 90.00°, γ = 90.00°
With the nearest neighbours (Å) after each atom.
Space group Pm-3m (No. 221)
Unique sites:
La 0.0000 0.0000 0.0000  12 Au 3.58
Mo 0.5000 0.5000 0.5000  6 Au 2.53
Au 0.0000 0.5000 0.5000  2 Mo 2.53

Values from the calculation:
ΔE_f = 0.248 eV/atom
Fermi-level density of states = 7.382 states/eV/cell
Magnetization = 0.00 μB per cell
Theoretical density = 10.5 Mg/m³
Energy relative to the lowest polymorph listed for this composition = 0.000 eV per atom
Crystal system = cubic

7.
A relaxed LaMoAu2 crystal. Source: the Alexandria database, functional PBE.

a = 3.0574 Å, b = 3.0574 Å, c = 30.4154 Å
α = 90.00°, β = 90.00°, γ = 120.00°
With the nearest neighbours (Å) after each atom.
Space group R3m (No. 160, hexagonal axes)
Unique sites:
La 0.0000 0.0000 0.0000  6 La 3.06, 3 Au 3.29, 3 Mo 3.34
Mo 0.0000 0.0000 0.2402  3 Au 2.80, 6 Mo 3.06
Au 0.0000 0.0000 0.5019  3 Mo 2.80, 9 Au 2.94-3.06
Au 0.0000 0.0000 0.7580  9 Au 2.94-3.06

Values from the calculation:
ΔE_f = 0.377 eV/atom
Fermi-level density of states = 11.984 states/eV/cell
Magnetization = 1.68 μB per cell
Theoretical density = 12.7 Mg/m³
Energy relative to the lowest polymorph listed for this composition = 0.353 eV per atom
Crystal system = trigonal

8.
A relaxed LaMo3Au crystal. Source: the Alexandria database, functional PBE.

a = 4.7523 Å, b = 4.7523 Å, c = 4.7523 Å
α = 90.00°, β = 90.00°, γ = 90.00°
With the nearest neighbours (Å) after each atom.
Space group Pm-3m (No. 221)
Unique sites:
La 0.0000 0.0000 0.0000  6 Mo 2.38
Mo 0.0000 0.0000 0.5000  2 La 2.38
Au 0.5000 0.5000 0.5000  12 Mo 3.36

Values from the calculation:
ΔE_f = 2.153 eV/atom
Fermi-level density of states = 6.786 states/eV/cell
Magnetization = 0.00 μB per cell
Theoretical density = 9.6 Mg/m³
Energy relative to the lowest polymorph listed for this composition = 0.473 eV per atom
Crystal system = cubic

9.
A relaxed La2MoAu crystal. Source: the Alexandria database, functional PBE.

a = 4.4402 Å, b = 4.4402 Å, c = 9.7791 Å
α = 90.00°, β = 90.00°, γ = 90.00°
With the nearest neighbours (Å) after each atom.
Space group I-4m2 (No. 119)
Unique sites:
La 0.0000 0.0000 0.0000  4 Au 3.14, 4 La 3.30, 4 Mo 3.30
La 0.0000 0.5000 0.2500  4 Mo 3.14, 4 La 3.30, 4 Au 3.30
Mo 0.0000 0.5000 0.7500  8 La 3.14-3.30, 4 Au 3.30
Au 0.0000 0.0000 0.5000  8 La 3.14-3.30, 4 Mo 3.30

Values from the calculation:
ΔE_f = 0.128 eV/atom
Fermi-level density of states = 9.088 states/eV/cell
Magnetization = 0.00 μB per cell
Theoretical density = 9.8 Mg/m³
Energy relative to the lowest polymorph listed for this composition = 0.172 eV per atom
Crystal system = tetragonal

10.
A relaxed La2MoAu crystal. Source: the Alexandria database, functional PBE.

a = 3.9451 Å, b = 4.8451 Å, c = 5.7755 Å
α = 90.00°, β = 109.74°, γ = 90.00°
With the nearest neighbours (Å) after each atom.
Space group Pm (No. 6)
Unique sites:
La 0.0000 0.0000 0.0000  3 Au 3.05-3.11, 4 Mo 3.14-3.15
La 0.2895 0.5000 0.5838  1 Mo 2.60
Mo 0.5330 0.5000 0.0616  1 La 2.60
Au 0.7125 0.0000 0.4282  7 La 3.05-3.24, 2 Mo 3.14

Values from the calculation:
ΔE_f = -0.023 eV/atom
Fermi-level density of states = 3.299 states/eV/cell
Magnetization = 0.65 μB per cell
Theoretical density = 9.1 Mg/m³
Energy relative to the lowest polymorph listed for this composition = 0.022 eV per atom
Crystal system = monoclinic

11.
A relaxed LaMoAu crystal. Source: the Alexandria database, functional PBE.

a = 3.0077 Å, b = 3.0077 Å, c = 7.9717 Å
α = 90.00°, β = 90.00°, γ = 120.00°
With the nearest neighbours (Å) after each atom.
Space group P3m1 (No. 156)
Unique sites:
La 0.0000 0.0000 0.0000  6 La 3.01, 3 Mo 3.30, 3 Au 3.37
Mo 0.6667 0.3333 0.3527  3 Au 2.86, 6 Mo 3.01
Au 0.3333 0.6667 0.6380  3 Mo 2.86, 6 Au 3.01

Values from the calculation:
ΔE_f = 0.497 eV/atom
Fermi-level density of states = 3.945 states/eV/cell
Magnetization = 0.00 μB per cell
Theoretical density = 11.5 Mg/m³
Energy relative to the lowest polymorph listed for this composition = 0.320 eV per atom
Crystal system = trigonal

12.
A relaxed LaMoAu2 crystal. Source: the Alexandria database, functional PBE.

a = 6.0936 Å, b = 8.5213 Å, c = 3.1606 Å
α = 90.00°, β = 90.00°, γ = 90.00°
With the nearest neighbours (Å) after each atom.
Space group Cmmm (No. 65)
Unique sites:
La 0.0000 0.0000 0.0000  2 Mo 3.05, 8 Au 3.06, 2 La 3.16
Mo 0.0000 0.5000 0.0000  2 La 3.05, 8 Au 3.06, 2 Mo 3.16
Au 0.2500 0.2500 0.5000  4 Au 3.05-3.16, 4 La 3.06, 4 Mo 3.06

Values from the calculation:
ΔE_f = 0.045 eV/atom
Fermi-level density of states = 6.467 states/eV/cell
Magnetization = 1.63 μB per cell
Theoretical density = 12.7 Mg/m³
Energy relative to the lowest polymorph listed for this composition = 0.020 eV per atom
Crystal system = orthorhombic